Entry 1:
Entry from Alexandria via LeMat-Bulk: a geometry-optimized LiSiTe2 structure (PBE).

Cell lengths 5.696, 5.696, 5.696 Å; angles 140.90, 105.01, 88.00 degrees
Fractional positions:
Li1 0.000 0.000 0.000
Si1 0.500 0.500 0.000
Te1 0.270 0.770 0.500
Te2 0.730 0.230 0.500

Properties
Formation energy without anion corrections = 0.02 eV/atom
Space group = Immm, No. 71

Entry 2:
Entry from Alexandria via LeMat-Bulk: a geometry-optimized Pu6Pt5 structure (PBE).

Cell lengths 6.258, 6.258, 8.234 Å; angles 95.50, 95.50, 128.18 degrees
Fractional positions:
Pu1 0.019 0.019 0.320
Pu2 0.313 0.625 0.807
Pu3 0.375 0.687 0.193
Pu4 0.625 0.313 0.807
Pu5 0.687 0.375 0.193
Pu6 0.981 0.981 0.680
Pt1 0.123 0.877 0.000
Pt2 0.236 0.764 0.500
Pt3 0.500 0.500 0.500
Pt4 0.764 0.236 0.500
Pt5 0.877 0.123 0.000

Properties
Energy of formation from the pure elements = -0.508 eV/atom
Space group = C2/m, No. 12

Entry 3:
Entry from Alexandria via LeMat-Bulk: a geometry-optimized Pa3Al2Ni6 structure (PBE).

Cell lengths 7.624, 7.624, 7.624 Å; angles 109.47, 109.47, 109.47 degrees
Fractional positions:
Pa1 0.000 0.273 0.273
Pa2 0.000 0.727 0.727
Pa3 0.273 0.000 0.273
Pa4 0.273 0.273 0.000
Pa5 0.727 0.000 0.727
Pa6 0.727 0.727 0.000
Al1 0.000 0.000 0.500
Al2 0.000 0.500 0.000
Al3 0.500 0.000 0.000
Al4 0.500 0.500 0.500
Ni1 0.000 0.345 0.655
Ni2 0.000 0.655 0.345
Ni3 0.310 0.655 0.655
Ni4 0.345 0.000 0.655
Ni5 0.345 0.345 0.690
Ni6 0.345 0.655 0.000
Ni7 0.345 0.690 0.345
Ni8 0.655 0.000 0.345
Ni9 0.655 0.310 0.655
Ni10 0.655 0.345 0.000
Ni11 0.655 0.655 0.310
Ni12 0.690 0.345 0.345

Properties
Energy of formation from the pure elements = -0.479 eV/atom
Space group = Im-3m, No. 229

Entry 4:
Entry from Alexandria via LeMat-Bulk: a geometry-optimized CoCuOs2 structure (PBE).

Cell lengths 2.624, 2.624, 7.513 Å; angles 90.00, 90.00, 90.00 degrees
Fractional positions:
Co1 0.000 0.000 0.000
Cu1 0.000 0.000 0.500
Os1 0.500 0.500 0.239
Os2 0.500 0.500 0.761

Properties
Energy of formation from the pure elements = 0.350 eV/atom
Space group = P4/mmm, No. 123

Entry 5:
Entry from Alexandria via LeMat-Bulk: a geometry-optimized WBrCl2 structure (PBE).

Cell lengths 4.308, 4.308, 4.420 Å; angles 90.00, 90.00, 90.00 degrees
Fractional positions:
W1 0.000 0.000 0.000
Br1 0.500 0.500 0.000
Cl1 0.000 0.500 0.500
Cl2 0.500 0.000 0.500

Properties
Formation energy without anion corrections = 1.08 eV/atom
Space group = P4/mmm, No. 123

Entry 6:
Entry from Alexandria via LeMat-Bulk: a geometry-optimized Mg2CdCl structure (PBE).

Cell lengths 5.304, 5.304, 3.173 Å; angles 90.00, 90.00, 90.22 degrees
Fractional positions:
Mg1 0.000 0.500 0.000
Mg2 0.500 0.000 0.000
Cd1 0.000 0.000 0.500
Cl1 0.500 0.500 0.500

Properties
Formation energy without anion corrections = -0.37 eV/atom
Space group = Cmmm, No. 65

E_tot for every record listed, in sequence, given in Ha/atom: -0.12424, -0.40687, -0.25366, -0.29639, -0.12860, -0.06811.